Entry from Alexandria: an optimized crystal structure of SbI2OF (PBE-GGA).

Structure (CIF):
```
data_SbI2OF
_chemical_formula_sum 'Sb1 I2 O1 F1'
_space_group_name_H-M_alt 'P 4/m m m'
_space_group_IT_number 123
_space_group_name_Hall '-P 4 2'
_cell_length_a 5.874
_cell_length_b 5.874
_cell_length_c 4.222
_cell_angle_alpha 90.00
_cell_angle_beta 90.00
_cell_angle_gamma 90.00
loop_
_atom_site_label
_atom_site_type_symbol
_atom_site_fract_x
_atom_site_fract_y
_atom_site_fract_z
Sb1 Sb 0.000 0.000 0.000
I1 I 0.000 0.500 0.500
O1 O 0.500 0.500 0.000
F1 F 0.000 0.000 0.500
```


Entry from Alexandria: an optimized crystal structure of SbIO2F (PBE-GGA).

Structure (CIF):
```
data_SbIO2F
_chemical_formula_sum 'Sb1 I1 O2 F1'
_space_group_name_H-M_alt 'P 4/m m m'
_space_group_IT_number 123
_space_group_name_Hall '-P 4 2'
_cell_length_a 4.245
_cell_length_b 4.245
_cell_length_c 4.478
_cell_angle_alpha 90.00
_cell_angle_beta 90.00
_cell_angle_gamma 90.00
loop_
_atom_site_label
_atom_site_type_symbol
_atom_site_fract_x
_atom_site_fract_y
_atom_site_fract_z
Sb1 Sb 0.000 0.000 0.000
I1 I 0.500 0.500 0.500
O1 O 0.000 0.500 0.000
F1 F 0.000 0.000 0.500
```


Entry from Alexandria: an optimized crystal structure of SbIO2F (PBE-GGA).

Structure (CIF):
```
data_SbIO2F
_chemical_formula_sum 'Sb1 I1 O2 F1'
_space_group_name_H-M_alt 'P 4/m m m'
_space_group_IT_number 123
_space_group_name_Hall '-P 4 2'
_cell_length_a 3.907
_cell_length_b 3.907
_cell_length_c 6.278
_cell_angle_alpha 90.00
_cell_angle_beta 90.00
_cell_angle_gamma 90.00
loop_
_atom_site_label
_atom_site_type_symbol
_atom_site_fract_x
_atom_site_fract_y
_atom_site_fract_z
Sb1 Sb 0.000 0.000 0.000
I1 I 0.000 0.000 0.500
O1 O 0.000 0.500 0.000
F1 F 0.500 0.500 0.500
```


Entry from Alexandria: an optimized crystal structure of SbIO2F (PBE-GGA).

Structure (CIF):
```
data_SbIO2F
_chemical_formula_sum 'Sb1 I1 O2 F1'
_space_group_name_H-M_alt 'P 4/m m m'
_space_group_IT_number 123
_space_group_name_Hall '-P 4 2'
_cell_length_a 3.991
_cell_length_b 3.991
_cell_length_c 6.739
_cell_angle_alpha 90.00
_cell_angle_beta 90.00
_cell_angle_gamma 90.00
loop_
_atom_site_label
_atom_site_type_symbol
_atom_site_fract_x
_atom_site_fract_y
_atom_site_fract_z
Sb1 Sb 0.000 0.000 0.000
I1 I 0.500 0.500 0.500
O1 O 0.000 0.500 0.500
F1 F 0.500 0.500 0.000
```


Entry from Alexandria: an optimized crystal structure of SbI2OF (PBE-GGA).

Structure (CIF):
```
data_SbI2OF
_chemical_formula_sum 'Sb1 I2 O1 F1'
_space_group_name_H-M_alt 'P 4/m m m'
_space_group_IT_number 123
_space_group_name_Hall '-P 4 2'
_cell_length_a 5.973
_cell_length_b 5.973
_cell_length_c 3.999
_cell_angle_alpha 90.00
_cell_angle_beta 90.00
_cell_angle_gamma 90.00
loop_
_atom_site_label
_atom_site_type_symbol
_atom_site_fract_x
_atom_site_fract_y
_atom_site_fract_z
Sb1 Sb 0.000 0.000 0.000
I1 I 0.000 0.500 0.000
O1 O 0.000 0.000 0.500
F1 F 0.500 0.500 0.500
```


Entry from Alexandria: an optimized crystal structure of ScIO2F (PBE-GGA).

Structure (CIF):
```
data_ScIO2F
_chemical_formula_sum 'Sc1 I1 O2 F1'
_space_group_name_H-M_alt 'P 4/m m m'
_space_group_IT_number 123
_space_group_name_Hall '-P 4 2'
_cell_length_a 4.404
_cell_length_b 4.404
_cell_length_c 4.012
_cell_angle_alpha 90.00
_cell_angle_beta 90.00
_cell_angle_gamma 90.00
loop_
_atom_site_label
_atom_site_type_symbol
_atom_site_fract_x
_atom_site_fract_y
_atom_site_fract_z
Sc1 Sc 0.000 0.000 0.000
I1 I 0.500 0.500 0.000
O1 O 0.000 0.500 0.500
F1 F 0.500 0.500 0.500
```


Entry from Alexandria: an optimized crystal structure of ScIO2F (PBE-GGA).

Structure (CIF):
```
data_ScIO2F
_chemical_formula_sum 'Sc1 I1 O2 F1'
_space_group_name_H-M_alt 'P 4/m m m'
_space_group_IT_number 123
_space_group_name_Hall '-P 4 2'
_cell_length_a 3.967
_cell_length_b 3.967
_cell_length_c 5.779
_cell_angle_alpha 90.00
_cell_angle_beta 90.00
_cell_angle_gamma 90.00
loop_
_atom_site_label
_atom_site_type_symbol
_atom_site_fract_x
_atom_site_fract_y
_atom_site_fract_z
Sc1 Sc 0.000 0.000 0.000
I1 I 0.000 0.000 0.500
O1 O 0.000 0.500 0.500
F1 F 0.500 0.500 0.000
```


Entry from Alexandria: an optimized crystal structure of ScIO2F (PBE-GGA).

Structure (CIF):
```
data_ScIO2F
_chemical_formula_sum 'Sc1 I1 O2 F1'
_space_group_name_H-M_alt 'P 4/m m m'
_space_group_IT_number 123
_space_group_name_Hall '-P 4 2'
_cell_length_a 4.197
_cell_length_b 4.197
_cell_length_c 3.980
_cell_angle_alpha 90.00
_cell_angle_beta 90.00
_cell_angle_gamma 90.00
loop_
_atom_site_label
_atom_site_type_symbol
_atom_site_fract_x
_atom_site_fract_y
_atom_site_fract_z
Sc1 Sc 0.000 0.000 0.000
I1 I 0.500 0.500 0.500
O1 O 0.000 0.500 0.000
F1 F 0.000 0.000 0.500
```


| no. | E_form (uncorrected) (meV/atom) | total energy (eV per formula unit) |
| --- | --- | --- |
| 1 | 286 | -12.624 |
| 2 | -604 | -20.482 |
| 3 | -593 | -20.423 |
| 4 | -65 | -17.785 |
| 5 | -231 | -15.208 |
| 6 | -135 | -20.344 |
| 7 | -661 | -22.976 |
| 8 | -1715 | -28.244 |